11
Lattice="-2.626 -0.589 -3.244 3.651 -1.037 -5.507 -1.535 -6.510 -0.314" Properties=species:S:1:pos:R:3 comment="SrNp2O8 | the Alexandria database | PBE-GGA | optimized geometry" de_polymorph_mev_per_atom=0.0 dft_energy_ev_per_cell=-94.9 raw_formation_energy_mev_per_atom=-2516 pbc="T T T"
Sr -1.313 -0.295 -1.622
O 2.129 -0.919 -4.296
O 0.387 -2.787 -2.546
O -0.897 -5.349 -6.518
O -1.309 -5.181 -3.477
O 0.871 -3.518 -8.282
O -2.639 -7.217 -4.769
O -1.381 -4.618 -0.783
O 0.799 -2.955 -5.587
Np -0.613 -3.355 -7.110
Np 0.103 -4.781 -1.954

---

8
Lattice="-4.689 0.807 1.198 -0.768 -1.380 -4.646 0.379 -4.493 1.935" Properties=species:S:1:pos:R:3 comment="SrNpO6 | the Alexandria database | PBE-GGA | optimized geometry" dft_energy_ev_per_cell=-58.9 raw_formation_energy_mev_per_atom=-1810 pbc="T T T"
O -2.277 -4.253 -1.615
O -3.694 -3.463 0.496
O -2.802 -0.813 0.103
O -0.970 -2.728 0.370
O -1.385 -1.603 -2.008
O -4.108 -2.338 -1.882
Np -2.539 -2.533 -0.756
Sr 0.000 0.000 0.000

---

9
Lattice="4.296 0.000 -0.171 0.000 5.542 0.000 -1.926 -2.771 5.677" Properties=species:S:1:pos:R:3 comment="Sr2NpO6 | the Alexandria database | PBE-GGA | optimized geometry" de_polymorph_mev_per_atom=0.0 dft_energy_ev_per_cell=-69.1 raw_formation_energy_mev_per_atom=-2559 pbc="T T T"
O 0.061 1.286 1.522
O 2.309 1.485 3.984
O 2.148 1.059 -0.085
O 0.061 4.255 1.522
O 2.309 -1.485 3.984
O 2.148 4.483 -0.085
Np 0.000 0.000 0.000
Sr 2.221 2.771 1.751
Sr 0.149 0.000 3.756

---

16
Lattice="-2.069 -1.996 -3.367 5.994 1.646 -1.748 3.800 -10.011 3.600" Properties=species:S:1:pos:R:3 comment="Sr2NpO5 | the Alexandria database | PBE-GGA | optimized geometry" de_polymorph_mev_per_atom=42.7 dft_energy_ev_per_cell=-129.8 raw_formation_energy_mev_per_atom=-2978 pbc="T T T"
Sr 4.119 -4.804 -2.594
Sr 4.944 -9.087 2.349
Sr 3.605 -5.558 1.080
Sr 2.780 -1.274 -3.864
Np 2.616 -2.285 -0.253
Np 5.108 -8.076 -1.262
O 3.478 -6.835 -0.996
O 3.194 -0.755 -1.515
O 0.994 -1.179 0.088
O 4.530 -9.606 0.000
O 1.923 -3.239 -2.172
O 4.246 -3.526 -0.518
O 5.801 -7.123 0.658
O 6.730 -9.183 -1.603
O 1.947 -3.691 0.991
O 5.777 -6.671 -2.506

---

28
Lattice="-1.585 1.868 7.113 -2.002 -7.021 1.811 6.903 -1.764 2.415" Properties=species:S:1:pos:R:3 comment="Sr3Np2O9 | the Alexandria database | PBE-GGA | optimized geometry" dft_energy_ev_per_cell=-228.1 raw_formation_energy_mev_per_atom=-2750 pbc="T T T"
O 3.822 -4.400 8.595
O 1.469 -4.458 3.752
O -1.544 -0.302 7.140
O 3.384 -0.149 8.576
O 3.529 -4.548 5.821
O 0.418 -5.081 6.406
O -0.068 -6.769 2.763
O 1.847 -2.460 7.587
O -2.432 -5.360 7.098
O 1.215 -4.644 9.208
O 0.892 -0.397 3.629
O 2.898 -1.837 4.933
O 5.748 -1.558 4.241
O 4.860 -6.616 4.199
O -0.506 -2.518 2.744
O 2.424 -6.521 7.709
O -0.213 -2.370 5.518
O 2.101 -2.274 2.130
Sr 1.683 -7.065 4.840
Sr 4.205 -4.205 3.092
Sr -1.694 -4.589 4.583
Sr 5.010 -2.329 6.756
Sr -0.889 -2.713 8.247
Sr 1.633 0.147 6.499
Np 1.204 -2.511 4.116
Np 2.862 -5.970 9.785
Np 0.454 -0.948 1.554
Np 2.112 -4.407 7.223

---

7
Lattice="-0.349 4.232 0.699 -5.217 1.346 2.490 0.696 1.295 5.751" Properties=species:S:1:pos:R:3 comment="SrNpO5 | the Alexandria database | PBE-GGA | optimized geometry" dft_energy_ev_per_cell=-56.5 raw_formation_energy_mev_per_atom=-2444 pbc="T T T"
O -3.508 1.331 3.432
O -0.174 2.116 0.350
O -3.625 2.982 6.620
O -1.013 1.310 4.808
O -1.245 3.890 2.320
Sr -2.435 3.436 4.470
Np 0.000 0.000 0.000

---

10
Lattice="-0.571 1.299 -3.877 -6.211 0.492 1.079 3.423 5.173 1.229" Properties=species:S:1:pos:R:3 comment="SrNp2O7 | the Alexandria database | PBE-GGA | optimized geometry" dft_energy_ev_per_cell=-89.7 raw_formation_energy_mev_per_atom=-2742 pbc="T T T"
O -3.374 1.871 1.123
O 0.531 2.366 -1.484
O -2.151 1.064 -1.525
O 0.585 3.794 1.185
O -1.680 3.482 -0.784
O -1.209 5.901 -0.043
O -3.890 4.598 -0.085
Np -3.545 2.576 -0.813
Np 0.186 4.389 -0.755
Sr 0.000 0.000 0.000

---

11
Lattice="5.089 0.000 0.000 0.000 5.089 0.000 0.000 0.000 6.022" Properties=species:S:1:pos:R:3 comment="SrNp2O8 | the Alexandria database | PBE-GGA | optimized geometry" de_polymorph_mev_per_atom=100.8 dft_energy_ev_per_cell=-93.8 raw_formation_energy_mev_per_atom=-2415 pbc="T T T"
O 3.817 3.817 1.184
O 1.272 3.817 1.184
O 3.817 3.817 4.838
O 1.272 1.272 4.838
O 1.272 3.817 4.838
O 3.817 1.272 1.184
O 3.817 1.272 4.838
O 1.272 1.272 1.184
Np 2.544 0.000 0.000
Np 0.000 2.544 0.000
Sr 2.544 2.544 3.011